# 1
The following is a PBE calculation of a relaxed YEr2Si6 crystal, from Alexandria via LeMat-Bulk.

Properties
uncorrected formation energy: -507 meV per atom

CIF file:
```
data_YEr2Si6
_chemical_formula_sum 'Y1 Er2 Si6'
_space_group_name_H-M_alt 'P 6/m m m'
_space_group_IT_number 191
_space_group_name_Hall '-P 6 2'
_cell_length_a 7.0822
_cell_length_b 7.0822
_cell_length_c 3.9097
_cell_angle_alpha 90.00
_cell_angle_beta 90.00
_cell_angle_gamma 120.00
loop_
_atom_site_label
_atom_site_fract_x
_atom_site_fract_y
_atom_site_fract_z
_atom_site_occupancy
Y1 0.0000 0.0000 0.0000 1
Er1 0.3333 0.6667 0.0000 1
Si1 0.0000 0.3340 0.5000 1
```

---

# 2
The following is a PBE calculation of a relaxed Au2SeBr crystal, from Alexandria via LeMat-Bulk.

Properties
uncorrected formation energy: 79 meV per atom

CIF file:
```
data_Au2SeBr
_chemical_formula_sum 'Au8 Se4 Br4'
_space_group_name_H-M_alt 'I -4 2 d'
_space_group_IT_number 122
_space_group_name_Hall 'I -4 2bw'
_cell_length_a 6.176
_cell_length_b 6.176
_cell_length_c 12.075
_cell_angle_alpha 90.00
_cell_angle_beta 90.00
_cell_angle_gamma 90.00
loop_
_atom_site_label
_atom_site_fract_x
_atom_site_fract_y
_atom_site_fract_z
_atom_site_occupancy
Au1 0.205 0.250 0.125 1
Se1 0.000 0.000 0.000 1
Br1 0.000 0.000 0.500 1
```

---

# 3
The following is a PBE calculation of a relaxed Pm2Ho3Th4 crystal, from Alexandria via LeMat-Bulk.

Properties
DFT formation energy: 0.036 eV per atom

CIF file:
```
data_Pm2Ho3Th4
_chemical_formula_sum 'Pm4 Ho6 Th8'
_space_group_name_H-M_alt 'C 1 2/m 1'
_space_group_IT_number 12
_cell_length_a 15.187
_cell_length_b 5.046
_cell_length_c 8.034
_cell_angle_alpha 90.00
_cell_angle_beta 108.73
_cell_angle_gamma 90.00
loop_
_space_group_symop_operation_xyz
'x,y,z'
'-x,-y,-z'
'-x,y,-z'
'x,-y,z'
'x+1/2,y+1/2,z'
'-x+1/2,-y+1/2,-z'
'-x+1/2,y+1/2,-z'
'x+1/2,-y+1/2,z'
loop_
_atom_site_label
_atom_site_fract_x
_atom_site_fract_y
_atom_site_fract_z
_atom_site_occupancy
Pm1 0.060 0.000 0.331 1
Ho1 0.000 0.500 0.000 1
Ho2 0.116 0.500 0.672 1
Th1 0.170 0.000 0.002 1
Th2 0.223 0.500 0.332 1
```

---

Number 1: total DFT energy (no corrections) -5.854 eV/atom, M_tot 0.00 μB per cell. Number 2: total DFT energy (no corrections) -2.849 eV/atom, M_tot 0.00 μB per cell. Number 3: total DFT energy (no corrections) -5.843 eV/atom, M_tot 0.00 μB per cell.